First-principles (PBE-GGA) data for crystalline CaLuCd2 at its relaxed geometry, as listed in Alexandria via LeMat-Bulk.

The structure in POSCAR format:
```
CaLuCd2
1.0
0.0000 3.7422 3.7422
3.7422 0.0000 3.7422
3.7422 3.7422 0.0000
Ca Lu Cd
1 1 2
direct
0.0000 0.0000 0.0000
0.5000 0.5000 0.5000
0.2500 0.2500 0.2500
0.7500 0.7500 0.7500
```

Values from the calculation:
symmetry	Fm-3m (225)
magnetization	0.0	μB per formula unit
relative energy among the computed polymorphs	19	meV/atom
V	104.8	Å³/cell